This record from Alexandria via LeMat-Bulk describes a geometry-optimized Te3BrO3 structure. The functional is PBE.

Properties
uncorrected formation energy	-0.394	eV/atom
crystal system	trigonal
symmetry	R-3, No. 148
magnetization	0.00	μB per formula unit
DFT total energy	-4.104	eV per atom

abc: 7.4766 7.4766 8.1534
angles: 62.71 62.71 60.00
With the nearest neighbours (Å) after each atom.
Fractional positions:
Te: 0.6279 0.9823 0.2875  2 O 1.97-2.08
O: 0.7972 0.0482 0.5576  2 Te 1.97-2.08
O: 0.4029 0.2028 0.4424  2 Te 1.97-2.08
Te: 0.3721 0.0177 0.7125  2 O 1.97-2.08
Br: 0.6564 0.6564 0.0308  6 Te 3.38-3.76, 3 O 3.68
Te: 0.8977 0.3721 0.7125  2 O 1.97-2.08
O: 0.0482 0.5971 0.5576  2 Te 1.97-2.08
Te: 0.0177 0.8977 0.7125  2 O 1.97-2.08
O: 0.5971 0.7972 0.5576  2 Te 1.97-2.08
O: 0.2028 0.9518 0.4424  2 Te 1.97-2.08
Te: 0.9823 0.1023 0.2875  2 O 1.97-2.08
Te: 0.1023 0.6279 0.2875  2 O 1.97-2.08
O: 0.9518 0.4029 0.4424  2 Te 1.97-2.08
Br: 0.3436 0.3436 0.9692  6 Te 3.38-3.76, 3 O 3.68